Sc2Ga4Ag3 after structural relaxation, computed with PBE-GGA.

```
Sc2Ga4Ag3
1.0
5.671 0.000 0.000
0.000 7.470 0.000
-2.836 0.000 7.873
Sc Ga Ag
4 8 6
direct
0.098 0.599 0.195
0.902 0.401 0.805
0.402 0.099 0.805
0.598 0.901 0.195
0.682 0.750 0.863
0.818 0.250 0.137
0.318 0.250 0.137
0.182 0.750 0.863
0.167 0.975 0.334
0.833 0.025 0.666
0.333 0.475 0.666
0.667 0.525 0.334
0.000 0.000 0.000
0.500 0.500 0.000
0.512 0.750 0.524
0.988 0.250 0.476
0.488 0.250 0.476
0.012 0.750 0.524
```

The density of states at the Fermi level comes out at 0.7315 states/eV/atom. The total energy comes out at -3.977 eV per atom. The symmetry is Cmce. The formation energy is -0.274 eV/atom.